Record 1
Entry from the Alexandria database: a relaxed La2Pm3Tm6 crystal (GGA-PBE).

Cell and atoms, written as CIF:
```
data_La2Pm3Tm6
_chemical_formula_sum 'La4 Pm6 Tm12'
_space_group_name_H-M_alt 'I 4/m m m'
_space_group_IT_number 139
_space_group_name_Hall '-I 4 2'
_cell_length_a 4.770
_cell_length_b 4.770
_cell_length_c 33.177
_cell_angle_alpha 90.00
_cell_angle_beta 90.00
_cell_angle_gamma 90.00
loop_
_atom_site_label
_atom_site_fract_x
_atom_site_fract_y
_atom_site_fract_z
La1 0.000 0.000 0.046
Pm1 0.000 0.000 0.295
Pm2 0.000 0.000 0.500
Tm1 0.000 0.000 0.192
Tm2 0.000 0.500 0.122
```

Properties
For the energy above the most stable polymorph in this dataset, the calculation gives 72 meV/atom. The calculation puts the energy relative to the elements at 0.258 eV per atom.

Record 2
Entry from the Alexandria database: a relaxed La2Pm5Tm4 crystal (GGA-PBE).

Cell and atoms, written as CIF:
```
data_La2Pm5Tm4
_chemical_formula_sum 'La4 Pm10 Tm8'
_space_group_name_H-M_alt 'I m m m'
_space_group_IT_number 71
_space_group_name_Hall '-I 2 2'
_cell_length_a 3.526
_cell_length_b 9.160
_cell_length_c 23.598
_cell_angle_alpha 90.00
_cell_angle_beta 90.00
_cell_angle_gamma 90.00
loop_
_atom_site_label
_atom_site_fract_x
_atom_site_fract_y
_atom_site_fract_z
La1 0.000 0.000 0.234
Pm1 0.000 0.196 0.360
Pm2 0.000 0.500 0.000
Tm1 0.000 0.000 0.097
Tm2 0.000 0.318 0.500
```

Properties
For the energy above the most stable polymorph in this dataset, the calculation gives 94 meV/atom. The calculation puts the energy relative to the elements at 0.160 eV per atom.

Record 3
Entry from the Alexandria database: a relaxed LaPm2Tm crystal (GGA-PBE).

Cell and atoms, written as CIF:
```
data_LaPm2Tm
_chemical_formula_sum 'La3 Pm6 Tm3'
_space_group_name_H-M_alt 'R -3 m'
_space_group_IT_number 166
_space_group_name_Hall '-R 3 2"'
_cell_length_a 3.6338
_cell_length_b 3.6338
_cell_length_c 35.5857
_cell_angle_alpha 90.00
_cell_angle_beta 90.00
_cell_angle_gamma 120.00
loop_
_atom_site_label
_atom_site_fract_x
_atom_site_fract_y
_atom_site_fract_z
La1 0.0000 0.0000 0.0000
Pm1 0.0000 0.0000 0.2474
Tm1 0.0000 0.0000 0.5000
```

Properties
For the energy above the most stable polymorph in this dataset, the calculation gives 4 meV/atom. The calculation puts the energy relative to the elements at 0.023 eV per atom.

Record 4
Entry from the Alexandria database: a relaxed La7Pm6Tm16 crystal (GGA-PBE).

Cell and atoms, written as CIF:
```
data_La7Pm6Tm16
_chemical_formula_sum 'La28 Pm24 Tm64'
_space_group_name_H-M_alt 'F m -3 m'
_space_group_IT_number 225
_space_group_name_Hall '-F 4 2 3'
_cell_length_a 15.981
_cell_length_b 15.981
_cell_length_c 15.981
_cell_angle_alpha 90.00
_cell_angle_beta 90.00
_cell_angle_gamma 90.00
loop_
_atom_site_label
_atom_site_fract_x
_atom_site_fract_y
_atom_site_fract_z
La1 0.000 0.000 0.000
La2 0.000 0.250 0.250
Pm1 0.000 0.000 0.255
Tm1 0.130 0.130 0.130
Tm2 0.153 0.153 0.347
```

Properties
The calculation puts the energy relative to the elements at 0.249 eV per atom.

Record 5
Entry from the Alexandria database: a relaxed La3Pm2Tm5 crystal (GGA-PBE).

Cell and atoms, written as CIF:
```
data_La3Pm2Tm5
_chemical_formula_sum 'La12 Pm8 Tm20'
_space_group_name_H-M_alt 'C 1 2/c 1'
_space_group_IT_number 15
_space_group_name_Hall '-C 2yc'
_cell_length_a 10.573
_cell_length_b 16.601
_cell_length_c 9.251
_cell_angle_alpha 90.00
_cell_angle_beta 124.80
_cell_angle_gamma 90.00
loop_
_atom_site_label
_atom_site_fract_x
_atom_site_fract_y
_atom_site_fract_z
La1 0.000 0.235 0.250
La2 0.147 0.125 0.049
Pm1 0.148 0.383 0.542
Tm1 0.000 0.025 0.250
Tm2 0.000 0.274 0.750
Tm3 0.000 0.471 0.750
Tm4 0.243 0.389 0.234
```

Properties
The calculation puts the energy relative to the elements at 0.177 eV per atom.

Record 6
Entry from the Alexandria database: a relaxed LaPm6Tm4 crystal (GGA-PBE).

Cell and atoms, written as CIF:
```
data_LaPm6Tm4
_chemical_formula_sum 'La4 Pm24 Tm16'
_space_group_name_H-M_alt 'C m c m'
_space_group_IT_number 63
_space_group_name_Hall '-C 2c 2'
_cell_length_a 5.841
_cell_length_b 9.692
_cell_length_c 25.928
_cell_angle_alpha 90.00
_cell_angle_beta 90.00
_cell_angle_gamma 90.00
loop_
_atom_site_label
_atom_site_fract_x
_atom_site_fract_y
_atom_site_fract_z
La1 0.000 0.207 0.250
Pm1 0.000 0.126 0.680
Pm2 0.000 0.197 0.097
Pm3 0.000 0.454 0.750
Pm4 0.000 0.500 0.000
Tm1 0.000 0.152 0.543
Tm2 0.000 0.461 0.624
```

Properties
For the energy above the most stable polymorph in this dataset, the calculation gives 0 meV/atom. The calculation puts the energy relative to the elements at 0.111 eV per atom.

Record 7
Entry from the Alexandria database: a relaxed La6Pm5Tm crystal (GGA-PBE).

Cell and atoms, written as CIF:
```
data_La6Pm5Tm
_chemical_formula_sum 'La6 Pm5 Tm1'
_space_group_name_H-M_alt 'P -1'
_space_group_IT_number 2
_space_group_name_Hall '-P 1'
_cell_length_a 6.340
_cell_length_b 7.413
_cell_length_c 9.754
_cell_angle_alpha 67.67
_cell_angle_beta 89.05
_cell_angle_gamma 89.93
loop_
_atom_site_label
_atom_site_fract_x
_atom_site_fract_y
_atom_site_fract_z
La1 0.000 0.248 0.000
La2 0.335 0.083 0.332
La3 0.335 0.585 0.332
Pm1 0.165 0.667 0.667
Pm2 0.167 0.166 0.668
Pm3 0.500 0.500 0.000
Tm1 0.500 0.000 0.000
```

Properties
The calculation puts the energy relative to the elements at 0.018 eV per atom.

Record 8
Entry from the Alexandria database: a relaxed LaPmTm4 crystal (GGA-PBE).

Cell and atoms, written as CIF:
```
data_LaPmTm4
_chemical_formula_sum 'La1 Pm1 Tm4'
_space_group_name_H-M_alt 'P m m m'
_space_group_IT_number 47
_space_group_name_Hall '-P 2 2'
_cell_length_a 3.462
_cell_length_b 5.655
_cell_length_c 9.790
_cell_angle_alpha 90.00
_cell_angle_beta 90.00
_cell_angle_gamma 90.00
loop_
_atom_site_label
_atom_site_fract_x
_atom_site_fract_y
_atom_site_fract_z
La1 0.000 0.000 0.000
Pm1 0.000 0.500 0.500
Tm1 0.500 0.000 0.335
Tm2 0.500 0.500 0.169
```

Properties
For the energy above the most stable polymorph in this dataset, the calculation gives 0 meV/atom. The calculation puts the energy relative to the elements at 0.080 eV per atom.

Record 9
Entry from the Alexandria database: a relaxed La6PmY2Tm crystal (GGA-PBE).

Cell and atoms, written as CIF:
```
data_La6PmY2Tm
_chemical_formula_sum 'La12 Pm2 Y4 Tm2'
_space_group_name_H-M_alt 'C 1 2/m 1'
_space_group_IT_number 12
_space_group_name_Hall '-C 2y'
_cell_length_a 11.477
_cell_length_b 7.058
_cell_length_c 9.131
_cell_angle_alpha 90.00
_cell_angle_beta 104.98
_cell_angle_gamma 90.00
loop_
_atom_site_label
_atom_site_fract_x
_atom_site_fract_y
_atom_site_fract_z
La1 0.134 0.000 0.429
La2 0.187 0.278 0.808
Pm1 0.000 0.500 0.500
Y1 0.083 0.500 0.167
Tm1 0.000 0.000 0.000
```

Properties
The calculation puts the energy relative to the elements at 0.195 eV per atom.

Record 10
Entry from the Alexandria database: a relaxed LaPmYTm3 crystal (GGA-PBE).

Cell and atoms, written as CIF:
```
data_LaPmYTm3
_chemical_formula_sum 'La4 Pm4 Y4 Tm12'
_space_group_name_H-M_alt 'C m c m'
_space_group_IT_number 63
_space_group_name_Hall '-C 2c 2'
_cell_length_a 5.810
_cell_length_b 11.626
_cell_length_c 11.619
_cell_angle_alpha 90.00
_cell_angle_beta 90.00
_cell_angle_gamma 90.00
loop_
_atom_site_label
_atom_site_fract_x
_atom_site_fract_y
_atom_site_fract_z
La1 0.000 0.006 0.250
Pm1 0.000 0.500 0.000
Y1 0.000 0.324 0.250
Tm1 0.000 0.176 0.506
Tm2 0.000 0.331 0.750
```

Properties
The calculation puts the energy relative to the elements at 0.106 eV per atom.

Record 11
Entry from the Alexandria database: a relaxed La2PmYTm2 crystal (GGA-PBE).

Cell and atoms, written as CIF:
```
data_La2PmYTm2
_chemical_formula_sum 'La4 Pm2 Y2 Tm4'
_space_group_name_H-M_alt 'P m c 21'
_space_group_IT_number 26
_space_group_name_Hall 'P 2c -2'
_cell_length_a 5.651
_cell_length_b 10.358
_cell_length_c 6.899
_cell_angle_alpha 90.00
_cell_angle_beta 90.00
_cell_angle_gamma 90.00
loop_
_atom_site_label
_atom_site_fract_x
_atom_site_fract_y
_atom_site_fract_z
La1 0.000 0.028 0.000
La2 0.500 0.204 0.267
Pm1 0.000 0.306 0.638
Y1 0.500 0.468 0.892
Tm1 0.000 0.378 0.145
Tm2 0.500 0.130 0.757
```

Properties
The calculation puts the energy relative to the elements at 0.068 eV per atom.

Record 12
Entry from the Alexandria database: a relaxed La2Pm5YTm crystal (GGA-PBE).

Cell and atoms, written as CIF:
```
data_La2Pm5YTm
_chemical_formula_sum 'La8 Pm20 Y4 Tm4'
_space_group_name_H-M_alt 'C m c 21'
_space_group_IT_number 36
_space_group_name_Hall 'C 2c -2'
_cell_length_a 5.721
_cell_length_b 20.330
_cell_length_c 10.798
_cell_angle_alpha 90.00
_cell_angle_beta 90.00
_cell_angle_gamma 90.00
loop_
_atom_site_label
_atom_site_fract_x
_atom_site_fract_y
_atom_site_fract_z
La1 0.000 0.114 0.000
La2 0.000 0.117 0.581
Pm1 0.000 0.015 0.285
Pm2 0.000 0.277 0.578
Pm3 0.000 0.296 0.970
Pm4 0.000 0.383 0.286
Pm5 0.000 0.483 0.009
Y1 0.000 0.407 0.730
Tm1 0.000 0.200 0.276
```

Properties
The calculation puts the energy relative to the elements at 0.130 eV per atom.